A relaxed DyUNi10 crystal, computed with PBE.

## Properties
DOS(E_F): 1.3367 states/eV/atom
Formation energy: -0.2798 eV per atom

a b c (Å): 3.9790 4.8481 8.3586
angles (deg): 90.00 90.00 90.00
Closest atoms and distances in Å follow each position.
Atoms (fractional coordinates):
Dy1 0.0000 0.0000 0.0000  18 Ni 2.83-3.16
U1 0.0000 0.5000 0.5000  6 Ni 2.71-2.78
Ni1 0.0000 0.0000 0.3382  6 Ni 2.41-2.44
Ni2 0.0000 0.5000 0.8237  6 Ni 2.41-2.48
Ni3 0.0000 0.5000 0.1763  6 Ni 2.41-2.48
Ni4 0.0000 0.0000 0.6618  6 Ni 2.41-2.44
Ni5 0.5000 0.0000 0.5000  8 Ni 2.39-2.41
Ni6 0.5000 0.5000 0.0000  8 Ni 2.44-2.48
Ni7 0.5000 0.2528 0.2538  8 Ni 2.39-2.45
Ni8 0.5000 0.7472 0.7462  8 Ni 2.39-2.45
Ni9 0.5000 0.7472 0.2538  8 Ni 2.39-2.45
Ni10 0.5000 0.2528 0.7462  8 Ni 2.39-2.45

=====

A relaxed DyUNi2 crystal, computed with PBE.

## Properties
DOS(E_F): 1.3677 states/eV/atom
Formation energy: -0.0384 eV per atom

a b c (Å): 3.6160 3.6160 7.3752
angles (deg): 75.81 75.81 60.00
Closest atoms and distances in Å follow each position.
Atoms (fractional coordinates):
Ni1 0.7408 0.7408 0.7776  3 U 2.61, 3 Dy 2.87
Ni2 0.2592 0.2592 0.2224  3 U 2.61, 3 Dy 2.87
U1 0.0000 0.0000 0.0000  6 Ni 2.61
Dy1 0.5000 0.5000 0.5000  6 Ni 2.87

=====

A relaxed DyU2Ni9 crystal, computed with PBE.

## Properties
DOS(E_F): 1.2240 states/eV/atom
Formation energy: -0.3151 eV per atom

a b c (Å): 4.8674 4.8674 8.6500
angles (deg): 73.66 73.66 60.00
Closest atoms and distances in Å follow each position.
Atoms (fractional coordinates):
Dy1 0.0000 0.0000 0.0000  6 Ni 2.81
U1 0.8583 0.8583 0.4251  12 Ni 2.83-3.01, 3 U 3.07
U2 0.1417 0.1417 0.5749  12 Ni 2.83-3.01, 3 U 3.07
Ni1 0.6670 0.6670 0.9989  6 Ni 2.47-2.49
Ni2 0.3330 0.3330 0.0011  6 Ni 2.47-2.49
Ni3 0.5000 0.5000 0.5000  6 Ni 2.48
Ni4 0.4166 0.4166 0.2496  7 Ni 2.43-2.49
Ni5 0.9171 0.4166 0.2496  7 Ni 2.43-2.49
Ni6 0.4166 0.9171 0.2496  7 Ni 2.43-2.49
Ni7 0.5834 0.5834 0.7504  7 Ni 2.43-2.49
Ni8 0.5834 0.0829 0.7504  7 Ni 2.43-2.49
Ni9 0.0829 0.5834 0.7504  7 Ni 2.43-2.49

=====

A relaxed Dy2UNi crystal, computed with PBE.

## Properties
DOS(E_F): 1.5921 states/eV/atom
Formation energy: 0.3810 eV per atom

a b c (Å): 3.2557 3.2557 10.6175
angles (deg): 81.18 81.18 60.00
Closest atoms and distances in Å follow each position.
Atoms (fractional coordinates):
Ni1 0.5000 0.5000 0.5000  6 Dy 2.73
U1 0.0000 0.0000 0.0000  2 Dy 3.25, 6 U 3.26
Dy1 0.1037 0.1037 0.6889  3 Ni 2.73
Dy2 0.8963 0.8963 0.3111  3 Ni 2.73

=====

A relaxed DyUNi17 crystal, computed with PBE.

## Properties
DOS(E_F): 1.3002 states/eV/atom
Formation energy: -0.1663 eV per atom

a b c (Å): 6.2272 6.2272 6.2272
angles (deg): 82.87 82.87 82.87
Closest atoms and distances in Å follow each position.
Atoms (fractional coordinates):
Dy1 0.6621 0.6621 0.6621  19 Ni 2.90-3.15
U1 0.3349 0.3349 0.3349  13 Ni 2.79-3.02
Ni1 0.2972 0.0027 0.7000  8 Ni 2.37-2.52
Ni2 0.7000 0.2972 0.0027  8 Ni 2.37-2.52
Ni3 0.0027 0.7000 0.2972  8 Ni 2.37-2.52
Ni4 0.2972 0.7000 0.0027  8 Ni 2.37-2.52
Ni5 0.0027 0.2972 0.7000  8 Ni 2.37-2.52
Ni6 0.7000 0.0027 0.2972  8 Ni 2.37-2.52
Ni7 0.3459 0.8482 0.3459  9 Ni 2.38-2.54
Ni8 0.3459 0.3459 0.8482  9 Ni 2.38-2.54
Ni9 0.8482 0.3459 0.3459  9 Ni 2.38-2.54
Ni10 0.6501 0.1595 0.6501  9 Ni 2.38-2.62
Ni11 0.6501 0.6501 0.1595  9 Ni 2.38-2.62
Ni12 0.1595 0.6501 0.6501  9 Ni 2.38-2.62
Ni13 0.9981 0.5013 0.9981  10 Ni 2.37-2.51
Ni14 0.9981 0.9981 0.5013  10 Ni 2.37-2.51
Ni15 0.5013 0.9981 0.9981  10 Ni 2.37-2.51
Ni16 0.9029 0.9029 0.9029  7 Ni 2.41-2.62
Ni17 0.1031 0.1031 0.1031  7 Ni 2.41-2.54

=====

A relaxed DyVNi crystal, computed with PBE.

## Properties
DOS(E_F): 1.3883 states/eV/atom
Formation energy: 0.0529 eV per atom

a b c (Å): 4.7536 3.3627 9.5196
angles (deg): 90.00 90.00 134.98
Closest atoms and distances in Å follow each position.
Atoms (fractional coordinates):
Ni1 0.6943 0.3887 0.0000  8 V 2.57-2.58
Ni2 0.1946 0.3891 0.5000  8 Dy 2.90
Dy1 0.6945 0.3890 0.3249  5 Ni 2.90-3.09, 4 V 3.17-3.18
Dy2 0.6945 0.3890 0.6751  5 Ni 2.90-3.09, 4 V 3.17-3.18
V1 0.1944 0.3887 0.8962  1 V 1.98
V2 0.1944 0.3887 0.1038  1 V 1.98

=====

A relaxed DyVNi6 crystal, computed with PBE.

## Properties
DOS(E_F): 0.5746 states/eV/atom
Formation energy: -0.0317 eV per atom

a b c (Å): 3.6024 3.6024 8.6436
angles (deg): 90.00 90.00 90.00
Closest atoms and distances in Å follow each position.
Atoms (fractional coordinates):
Dy1 0.0000 0.0000 0.0000  8 Ni 2.80
V1 0.0000 0.0000 0.5000  8 Ni 2.38
Ni1 0.5000 0.0000 0.6797  2 V 2.38, 6 Ni 2.41-2.55
Ni2 0.0000 0.5000 0.6797  2 V 2.38, 6 Ni 2.41-2.55
Ni3 0.5000 0.5000 0.1344  5 Ni 2.32-2.41
Ni4 0.5000 0.5000 0.8656  5 Ni 2.32-2.41
Ni5 0.0000 0.5000 0.3203  2 V 2.38, 6 Ni 2.41-2.55
Ni6 0.5000 0.0000 0.3203  2 V 2.38, 6 Ni 2.41-2.55

=====

A relaxed Dy2V2Ni15 crystal, computed with PBE.

## Properties
DOS(E_F): 1.5430 states/eV/atom
Formation energy: -0.2536 eV per atom

a b c (Å): 6.2846 6.2846 6.2846
angles (deg): 82.40 82.40 82.40
Closest atoms and distances in Å follow each position.
Atoms (fractional coordinates):
Dy1 0.3435 0.3435 0.3435  18 Ni 2.91-3.22, 1 V 3.10
Dy2 0.6565 0.6565 0.6565  18 Ni 2.91-3.22, 1 V 3.10
V1 0.0904 0.0904 0.0904  1 V 2.21
V2 0.9096 0.9096 0.9096  1 V 2.21
Ni1 0.5000 0.0000 0.0000  8 Ni 2.39-2.40, 2 V 2.57
Ni2 0.0000 0.0000 0.5000  8 Ni 2.39-2.40, 2 V 2.57
Ni3 0.0000 0.5000 0.0000  8 Ni 2.39-2.40, 2 V 2.57
Ni4 0.0000 0.7008 0.2992  8 Ni 2.40-2.53
Ni5 0.7008 0.2992 0.0000  8 Ni 2.40-2.53
Ni6 0.2992 0.0000 0.7008  8 Ni 2.40-2.53
Ni7 0.2992 0.7008 0.0000  8 Ni 2.40-2.53
Ni8 0.7008 0.0000 0.2992  8 Ni 2.40-2.53
Ni9 0.0000 0.2992 0.7008  8 Ni 2.40-2.53
Ni10 0.1539 0.6574 0.6574  8 Ni 2.39-2.53, 1 V 2.60
Ni11 0.6574 0.6574 0.1539  8 Ni 2.39-2.53, 1 V 2.60
Ni12 0.6574 0.1539 0.6574  8 Ni 2.39-2.53, 1 V 2.60
Ni13 0.8461 0.3426 0.3426  8 Ni 2.39-2.53, 1 V 2.60
Ni14 0.3426 0.3426 0.8461  8 Ni 2.39-2.53, 1 V 2.60
Ni15 0.3426 0.8461 0.3426  8 Ni 2.39-2.53, 1 V 2.60

=====

A relaxed Dy2YNi2 crystal, computed with PBE.

## Properties
DOS(E_F): 0.7508 states/eV/atom
Formation energy: -0.2777 eV per atom
Polymorph energy (0 for the lowest one): 0 meV/atom

a b c (Å): 3.6773 4.5717 13.4192
angles (deg): 90.00 97.88 90.00
Closest atoms and distances in Å follow each position.
Atoms (fractional coordinates):
Dy1 0.0509 0.2500 0.1018  7 Ni 2.77-3.00
Dy2 0.9491 0.7500 0.8982  7 Ni 2.77-3.00
Dy3 0.7293 0.2500 0.4587  2 Ni 2.69
Dy4 0.2707 0.7500 0.5413  2 Ni 2.69
Y1 0.3654 0.2500 0.7308  5 Ni 2.86-2.99
Y2 0.6346 0.7500 0.2692  5 Ni 2.86-2.99
Ni1 0.1554 0.2500 0.3108  3 Dy 2.69-2.78, 4 Y 2.99
Ni2 0.8446 0.7500 0.6892  3 Dy 2.69-2.78, 4 Y 2.99
Ni3 0.4730 0.2500 0.9460  2 Ni 2.70, 6 Dy 2.77-3.00, 1 Y 2.86
Ni4 0.5270 0.7500 0.0540  2 Ni 2.70, 6 Dy 2.77-3.00, 1 Y 2.86

=====

A relaxed Dy2YNi2 crystal, computed with PBE.

## Properties
DOS(E_F): 1.2396 states/eV/atom
Formation energy: -0.2359 eV per atom
Polymorph energy (0 for the lowest one): 42 meV/atom

a b c (Å): 3.7915 5.4976 6.0019
angles (deg): 103.43 108.41 90.00
Closest atoms and distances in Å follow each position.
Atoms (fractional coordinates):
Dy1 0.3517 0.4095 0.7035  4 Ni 2.73-2.90
Dy2 0.6483 0.5905 0.2965  4 Ni 2.73-2.90
Y1 0.0000 0.0000 0.0000  4 Ni 3.03
Ni1 0.7135 0.1132 0.4271  2 Ni 2.52, 3 Dy 2.73-2.79
Ni2 0.2865 0.8868 0.5729  2 Ni 2.52, 3 Dy 2.73-2.79

=====

A relaxed Dy4YNi2 crystal, computed with PBE.

## Properties
DOS(E_F): 1.2981 states/eV/atom
Formation energy: -0.1526 eV per atom

a b c (Å): 6.3804 7.5219 7.8939
angles (deg): 112.26 90.00 90.00
Closest atoms and distances in Å follow each position.
Atoms (fractional coordinates):
Dy1 0.5044 0.4077 0.7678  4 Ni 2.94-3.14, 2 Dy 3.13-3.25
Dy2 0.2500 0.2536 0.3450  2 Ni 2.69-2.77
Dy3 0.7500 0.7464 0.6550  2 Ni 2.69-2.77
Dy4 0.9956 0.4077 0.7678  4 Ni 2.94-3.14, 2 Dy 3.13-3.25
Dy5 0.7500 0.0263 0.3868  1 Ni 2.59
Dy6 0.0044 0.5923 0.2322  4 Ni 2.94-3.14, 2 Dy 3.13-3.25
Dy7 0.4956 0.5923 0.2322  4 Ni 2.94-3.14, 2 Dy 3.13-3.25
Dy8 0.2500 0.9737 0.6132  1 Ni 2.59
Y1 0.2500 0.8507 0.9747  2 Ni 2.90-3.01
Y2 0.7500 0.1493 0.0253  2 Ni 2.90-3.01
Ni1 0.2500 0.2581 0.9953  6 Dy 2.77-2.96, 1 Y 3.01
Ni2 0.7500 0.7419 0.0047  6 Dy 2.77-2.96, 1 Y 3.01
Ni3 0.7500 0.3807 0.4139  2 Dy 2.59-2.69, 1 Y 2.90
Ni4 0.2500 0.6193 0.5861  2 Dy 2.59-2.69, 1 Y 2.90

=====

A relaxed DyYNi2 crystal, computed with PBE.

## Properties
DOS(E_F): 1.1122 states/eV/atom
Formation energy: -0.3757 eV per atom
Polymorph energy (0 for the lowest one): 70 meV/atom

a b c (Å): 4.7870 4.7870 4.7870
angles (deg): 60.00 60.00 60.00
Closest atoms and distances in Å follow each position.
Atoms (fractional coordinates):
Y1 0.5000 0.5000 0.5000  8 Ni 2.93
Ni1 0.2500 0.2500 0.2500  4 Dy 2.93, 4 Y 2.93
Ni2 0.7500 0.7500 0.7500  4 Y 2.93, 4 Dy 2.93
Dy1 0.0000 0.0000 0.0000  8 Ni 2.93

=====

A relaxed Dy2YNi crystal, computed with PBE.

## Properties
DOS(E_F): 1.3954 states/eV/atom
Formation energy: -0.1618 eV per atom
Polymorph energy (0 for the lowest one): 85 meV/atom

a b c (Å): 3.4444 3.4444 8.6912
angles (deg): 90.00 90.00 90.00
Closest atoms and distances in Å follow each position.
Atoms (fractional coordinates):
Y1 0.5000 0.5000 0.5000  4 Y 3.44, 8 Dy 3.66
Ni1 0.5000 0.5000 0.0000  8 Dy 2.92
Dy1 0.0000 0.0000 0.8142  4 Ni 2.92, 1 Dy 3.23
Dy2 0.0000 0.0000 0.1858  4 Ni 2.92, 1 Dy 3.23

=====

A relaxed DyYNi2 crystal, computed with PBE.

## Properties
DOS(E_F): 0.6982 states/eV/atom
Formation energy: -0.3799 eV per atom
Polymorph energy (0 for the lowest one): 66 meV/atom

a b c (Å): 3.3306 4.8181 4.8181
angles (deg): 90.00 90.00 90.00
Closest atoms and distances in Å follow each position.
Atoms (fractional coordinates):
Y1 0.5000 0.0000 0.0000  8 Ni 2.93
Ni1 0.0000 0.0000 0.5000  4 Dy 2.93, 4 Y 2.93
Ni2 0.0000 0.5000 0.0000  4 Dy 2.93, 4 Y 2.93
Dy1 0.5000 0.5000 0.5000  8 Ni 2.93

=====

A relaxed Dy3YNi8 crystal, computed with PBE.

## Properties
DOS(E_F): 0.5174 states/eV/atom
Formation energy: -0.4413 eV per atom

a b c (Å): 5.0645 5.0645 8.7955
angles (deg): 73.27 73.27 60.00
Closest atoms and distances in Å follow each position.
Atoms (fractional coordinates):
Dy1 0.3750 0.3750 0.8750  12 Ni 2.97, 4 Dy 3.10
Dy2 0.0001 0.0001 0.9998  12 Ni 2.97, 3 Dy 3.10, 1 Y 3.11
Dy3 0.4997 0.4997 0.5009  12 Ni 2.97-2.99, 1 Dy 3.10, 3 Y 3.11
Y1 0.8751 0.8751 0.3748  12 Ni 2.97-2.98, 4 Dy 3.11
Ni1 0.9376 0.4377 0.1869  6 Ni 2.53-2.54
Ni2 0.4369 0.9376 0.6879  6 Ni 2.53-2.54
Ni3 0.4377 0.4377 0.1869  6 Ni 2.53-2.54
Ni4 0.9376 0.9376 0.6879  6 Ni 2.53-2.54
Ni5 0.1875 0.1875 0.4376  6 Ni 2.54
Ni6 0.6875 0.6875 0.9375  6 Ni 2.53-2.54
Ni7 0.4377 0.9376 0.1869  6 Ni 2.53-2.54
Ni8 0.9376 0.4369 0.6879  6 Ni 2.53-2.54

=====

A relaxed Dy3Y3Ni4 crystal, computed with PBE.

## Properties
DOS(E_F): 0.9178 states/eV/atom
Formation energy: -0.3165 eV per atom

a b c (Å): 3.9257 7.4957 7.4957
angles (deg): 89.97 90.00 90.00
Closest atoms and distances in Å follow each position.
Atoms (fractional coordinates):
Dy1 0.0000 0.4993 0.9989  4 Ni 2.96-2.98
Dy2 0.0000 0.0011 0.5007  4 Ni 2.96-2.98
Dy3 0.5000 0.1642 0.8358  6 Ni 2.92-2.98
Y1 0.5000 0.8338 0.1662  6 Ni 2.95-2.97
Y2 0.5000 0.3351 0.3343  6 Ni 2.94-2.98
Y3 0.5000 0.6657 0.6649  6 Ni 2.94-2.98
Ni1 0.0000 0.6234 0.3766  1 Ni 2.63, 4 Y 2.94
Ni2 0.0000 0.3755 0.6245  1 Ni 2.63
Ni3 0.0000 0.8782 0.8763  1 Ni 2.60
Ni4 0.0000 0.1237 0.1218  1 Ni 2.60

=====

A relaxed Dy2Y3Ni4 crystal, computed with PBE.

## Properties
DOS(E_F): 0.7311 states/eV/atom
Formation energy: -0.3573 eV per atom

a b c (Å): 7.5786 7.3713 7.2480
angles (deg): 90.00 90.00 106.39
Closest atoms and distances in Å follow each position.
Atoms (fractional coordinates):
Dy1 0.5985 0.2025 0.3203  6 Ni 2.93-3.10
Dy2 0.9015 0.7975 0.8203  6 Ni 2.93-3.10
Dy3 0.4015 0.7975 0.6797  6 Ni 2.93-3.10
Dy4 0.0985 0.2025 0.1797  6 Ni 2.93-3.10
Y1 0.0000 0.5000 0.5000  6 Ni 2.90-3.04
Y2 0.5000 0.5000 0.0000  6 Ni 2.90-3.04
Y3 0.7515 0.2337 0.8283  6 Ni 2.73-2.93
Y4 0.7485 0.7663 0.3283  6 Ni 2.73-2.93
Y5 0.2485 0.7663 0.1717  6 Ni 2.73-2.93
Y6 0.2515 0.2337 0.6717  6 Ni 2.73-2.93
Ni1 0.8848 0.0905 0.5255  1 Ni 2.51, 2 Y 2.73-2.75
Ni2 0.6152 0.9095 0.0255  1 Ni 2.51, 2 Y 2.73-2.75
Ni3 0.1152 0.9095 0.4745  1 Ni 2.51, 2 Y 2.73-2.75
Ni4 0.3848 0.0905 0.9745  1 Ni 2.51, 2 Y 2.73-2.75
Ni5 0.8846 0.4985 0.1169  1 Ni 2.43
Ni6 0.6154 0.5015 0.6169  1 Ni 2.43
Ni7 0.1154 0.5015 0.8831  1 Ni 2.43
Ni8 0.3846 0.4985 0.3831  1 Ni 2.43

=====

A relaxed DyYNi10 crystal, computed with PBE.

## Properties
DOS(E_F): 1.1408 states/eV/atom
Formation energy: -0.3240 eV per atom

a b c (Å): 3.9554 4.8857 8.4522
angles (deg): 90.00 90.00 90.00
Closest atoms and distances in Å follow each position.
Atoms (fractional coordinates):
Dy1 0.0000 0.5000 0.5000  18 Ni 2.81-3.14
Y1 0.0000 0.0000 0.0000  18 Ni 2.82-3.14
Ni1 0.0000 0.0000 0.3342  6 Ni 2.42-2.43
Ni2 0.0000 0.5000 0.8326  6 Ni 2.43
Ni3 0.0000 0.5000 0.1674  6 Ni 2.43
Ni4 0.0000 0.0000 0.6658  6 Ni 2.42-2.43
Ni5 0.5000 0.0000 0.5000  8 Ni 2.42-2.44
Ni6 0.5000 0.5000 0.0000  8 Ni 2.43-2.44
Ni7 0.5000 0.2503 0.2505  8 Ni 2.43-2.45
Ni8 0.5000 0.7497 0.7495  8 Ni 2.43-2.45
Ni9 0.5000 0.7497 0.2505  8 Ni 2.43-2.45
Ni10 0.5000 0.2503 0.7495  8 Ni 2.43-2.45

=====

A relaxed DyY3Ni2 crystal, computed with PBE.

## Properties
DOS(E_F): 1.1637 states/eV/atom
Formation energy: -0.2875 eV per atom

a b c (Å): 3.8789 8.3225 9.9055
angles (deg): 76.95 78.71 76.52
Closest atoms and distances in Å follow each position.
Atoms (fractional coordinates):
Dy1 0.8442 0.5638 0.7478  4 Ni 2.79-3.12
Dy2 0.1558 0.4362 0.2522  4 Ni 2.79-3.12
Y1 0.1545 0.9369 0.7541  4 Ni 2.81-3.11
Y2 0.8455 0.0631 0.2459  4 Ni 2.81-3.11
Y3 0.4188 0.2228 0.9397  3 Ni 2.82-2.96
Y4 0.5812 0.7772 0.0603  3 Ni 2.82-2.96
Y5 0.5814 0.2774 0.5598  3 Ni 2.81-2.96
Y6 0.4186 0.7226 0.4402  3 Ni 2.81-2.96
Ni1 0.2321 0.5852 0.9505  2 Ni 2.47
Ni2 0.7679 0.4148 0.0495  2 Ni 2.47
Ni3 0.7684 0.9145 0.5487  2 Ni 2.46
Ni4 0.2316 0.0855 0.4513  2 Ni 2.46

=====

A relaxed Dy3YNi2 crystal, computed with PBE.

## Properties
DOS(E_F): 0.9281 states/eV/atom
Formation energy: -0.1914 eV per atom
Polymorph energy (0 for the lowest one): 101 meV/atom

a b c (Å): 5.0388 9.1515 8.0614
angles (deg): 125.83 90.00 105.98
Closest atoms and distances in Å follow each position.
Atoms (fractional coordinates):
Dy1 0.3196 0.6392 0.6383  2 Ni 2.70-2.83
Dy2 0.9354 0.8709 0.6116  3 Ni 2.79-3.01
Dy3 0.6260 0.2521 0.7466  4 Ni 2.72-2.88
Dy4 0.3740 0.7479 0.2534  4 Ni 2.72-2.88
Dy5 0.0646 0.1291 0.3884  3 Ni 2.79-3.01
Dy6 0.6804 0.3608 0.3617  2 Ni 2.70-2.83
Y1 0.8538 0.7077 0.9417  5 Ni 2.96-3.16, 4 Dy 3.23-3.30
Y2 0.1462 0.2923 0.0583  5 Ni 2.96-3.16, 4 Dy 3.23-3.30
Ni1 0.5125 0.0250 0.8695  1 Ni 2.40
Ni2 0.4875 0.9750 0.1305  1 Ni 2.40
Ni3 0.7796 0.5592 0.1874  5 Dy 2.79-2.88, 1 Y 2.96
Ni4 0.2204 0.4408 0.8126  5 Dy 2.79-2.88, 1 Y 2.96